# Na3La2TbTe6 (PBE-GGA, relaxed)
# Space-group type: C2/m, No. 12
# Total energy in eV/atom: -4.484
data_Na3La2TbTe6
_chemical_formula_sum 'Na3 La2 Tb1 Te6'
_cell_length_a 7.936
_cell_length_b 7.936
_cell_length_c 7.977
_cell_angle_alpha 99.56
_cell_angle_beta 99.56
_cell_angle_gamma 120.01
_symmetry_space_group_name_H-M 'P 1'
_symmetry_Int_Tables_number 1
loop_
_symmetry_equiv_pos_as_xyz
'x,y,z'
loop_
_atom_site_label
_atom_site_fract_x
_atom_site_fract_y
_atom_site_fract_z
Te1 0.921 0.597 0.761
Te2 0.244 0.244 0.762
Te3 0.756 0.756 0.238
Te4 0.403 0.079 0.239
Te5 0.079 0.403 0.239
Te6 0.597 0.921 0.761
Tb1 0.000 0.000 0.000
La1 0.666 0.334 0.000
La2 0.334 0.666 0.000
Na1 0.500 0.500 0.500
Na2 0.831 0.169 0.500
Na3 0.169 0.831 0.500